1.
The following is a DFT calculation (PBE) of crystalline TlCu3Hg at its relaxed geometry.

Summary:
offset from the most stable computed form	180	meV/atom
uncorrected energy	-2.120	eV per atom
volume	24.41	A^3/atom
energy relative to the elements	0.87	eV per atom
magnetization	0.00	μB per formula unit

```
data_TlCu3Hg
_chemical_formula_sum 'Tl1 Cu3 Hg1'
_cell_length_a 4.960
_cell_length_b 4.960
_cell_length_c 4.960
_cell_angle_alpha 90.00
_cell_angle_beta 90.00
_cell_angle_gamma 90.00
_symmetry_space_group_name_H-M 'P 1'
_symmetry_Int_Tables_number 1
loop_
_symmetry_equiv_pos_as_xyz
'x,y,z'
loop_
_atom_site_label
_atom_site_fract_x
_atom_site_fract_y
_atom_site_fract_z
Tl1 0.000 0.000 0.000
Cu1 0.000 0.000 0.500
Cu2 0.000 0.500 0.000
Cu3 0.500 0.000 0.000
Hg1 0.500 0.500 0.500
```


2.
The following is a DFT calculation (PBE) of crystalline AsPIrC at its relaxed geometry.

Summary:
offset from the most stable computed form	63	meV/atom
uncorrected energy	-6.603	eV per atom
volume	18.44	A^3/atom
energy relative to the elements	0.43	eV per atom
magnetization	0.00	μB per formula unit

```
data_AsPIrC
_chemical_formula_sum 'As2 P2 Ir2 C2'
_cell_length_a 8.859
_cell_length_b 3.454
_cell_length_c 5.354
_cell_angle_alpha 90.00
_cell_angle_beta 115.74
_cell_angle_gamma 90.00
_symmetry_space_group_name_H-M 'P 1'
_symmetry_Int_Tables_number 1
loop_
_symmetry_equiv_pos_as_xyz
'x,y,z'
loop_
_atom_site_label
_atom_site_fract_x
_atom_site_fract_y
_atom_site_fract_z
As1 0.000 0.000 0.000
As2 0.500 0.500 0.000
P1 0.321 0.000 0.715
P2 0.821 0.500 0.715
Ir1 0.029 0.000 0.474
Ir2 0.529 0.500 0.474
C1 0.437 0.000 0.502
C2 0.937 0.500 0.502
```